1.
First-principles (PBE) data for a relaxed structure of Tb5Ni3, as listed in Alexandria via LeMat-Bulk.

abc: 6.261 10.834 10.834
angles: 90.00 90.00 90.00
Atoms (fractional coordinates):
Tb 0.118 0.207 0.591
Ni 0.750 0.153 0.153
Tb 0.382 0.409 0.793
Ni 0.874 0.000 0.500
Ni 0.250 0.847 0.153
Tb 0.000 0.500 0.500
Ni 0.250 0.347 0.347
Tb 0.118 0.793 0.409
Tb 0.118 0.091 0.293
Tb 0.382 0.591 0.207
Tb 0.618 0.091 0.707
Ni 0.626 0.500 0.000
Tb 0.500 0.500 0.500
Tb 0.618 0.793 0.591
Tb 0.500 0.000 0.000
Ni 0.750 0.653 0.347
Tb 0.618 0.909 0.293
Tb 0.000 0.000 0.000
Ni 0.250 0.653 0.653
Ni 0.374 0.000 0.500
Ni 0.250 0.153 0.847
Tb 0.382 0.293 0.091
Tb 0.118 0.909 0.707
Tb 0.618 0.207 0.409
Tb 0.882 0.409 0.207
Tb 0.882 0.293 0.909
Tb 0.882 0.591 0.793
Ni 0.750 0.347 0.653
Tb 0.382 0.707 0.909
Tb 0.882 0.707 0.091
Ni 0.126 0.500 0.000
Ni 0.750 0.847 0.847

Computed properties:
Space group: No. 130
Total magnetization, μB/f.u.: 0.0

=====

2.
First-principles (PBE) data for a relaxed structure of Tb3Ni2, as listed in Alexandria via LeMat-Bulk.

abc: 4.016 9.068 10.386
angles: 97.38 90.00 102.79
Atoms (fractional coordinates):
Tb 0.877 0.755 0.724
Tb 0.539 0.078 0.659
Tb 0.461 0.922 0.341
Tb 0.829 0.658 0.049
Ni 0.313 0.626 0.862
Ni 0.364 0.729 0.538
Tb 0.500 0.000 0.000
Tb 0.123 0.245 0.276
Ni 0.687 0.374 0.138
Tb 0.209 0.417 0.615
Tb 0.171 0.342 0.951
Tb 0.791 0.583 0.385
Ni 0.972 0.943 0.173
Ni 0.028 0.057 0.827
Ni 0.636 0.271 0.462

Computed properties:
ΔE to the lowest computed polymorph, meV per atom: 114
Space group: No. 12
Total magnetization, μB/f.u.: 0.0

=====

3.
First-principles (PBE) data for a relaxed structure of Tb3Ni2, as listed in Alexandria via LeMat-Bulk.

abc: 6.926 6.926 9.569
angles: 74.87 74.87 30.95
Atoms (fractional coordinates):
Tb 0.598 0.598 0.326
Tb 0.857 0.857 0.367
Ni 0.258 0.258 0.226
Tb 0.868 0.868 0.998
Ni 0.534 0.534 0.856
Tb 0.132 0.132 0.002
Tb 0.143 0.143 0.633
Ni 0.742 0.742 0.774
Tb 0.402 0.402 0.674
Ni 0.466 0.466 0.144

Computed properties:
ΔE to the lowest computed polymorph, meV per atom: 0
Space group: No. 12
Total magnetization, μB/f.u.: 0.0

=====

4.
First-principles (PBE) data for a relaxed structure of TbNi, as listed in Alexandria via LeMat-Bulk.

abc: 4.236 5.441 21.049
angles: 90.00 90.00 90.00
Atoms (fractional coordinates):
Tb 0.250 0.135 0.060
Ni 0.250 0.866 0.845
Ni 0.750 0.134 0.155
Ni 0.250 0.628 0.012
Ni 0.250 0.872 0.512
Tb 0.750 0.635 0.440
Tb 0.750 0.865 0.940
Ni 0.750 0.366 0.655
Ni 0.250 0.390 0.179
Tb 0.250 0.374 0.893
Tb 0.750 0.626 0.107
Ni 0.250 0.110 0.679
Ni 0.750 0.128 0.488
Tb 0.250 0.365 0.560
Ni 0.250 0.634 0.345
Ni 0.750 0.610 0.821
Tb 0.250 0.126 0.393
Tb 0.250 0.898 0.227
Ni 0.750 0.890 0.321
Ni 0.750 0.372 0.988
Tb 0.750 0.874 0.607
Tb 0.250 0.602 0.727
Tb 0.750 0.102 0.773
Tb 0.750 0.398 0.273

Computed properties:
Space group: No. 62
Total magnetization, μB/f.u.: 0.0

=====

Q: Which E values were calculated for the entries above? A: -171.78; -80.00; -54.47; -135.47, in eV per cell.